Density functional theory data (GGA-PBE) for a relaxed structure of PuMg2VN4.

Cell: 5.890 5.890 10.615 Å, 90.00 90.00 148.10°
Sites, in units of the cell vectors:
Pu 0.086 0.914 0.750
Pu 0.914 0.086 0.250
Mg 0.382 0.618 0.535
Mg 0.382 0.618 0.965
Mg 0.618 0.382 0.035
Mg 0.618 0.382 0.465
V 0.178 0.822 0.250
V 0.822 0.178 0.750
N 0.000 0.000 0.000
N 0.000 0.000 0.500
N 0.278 0.722 0.125
N 0.278 0.722 0.375
N 0.417 0.583 0.750
N 0.583 0.417 0.250
N 0.722 0.278 0.625
N 0.722 0.278 0.875

* total DFT energy (no corrections): -132.978 eV/cell
* V: 12.17 A^3/atom
* uncorrected formation energy: -0.8185 eV/atom

=====

Density functional theory data (GGA-PBE) for a relaxed structure of Pu2MgVN5.

Cell: 6.842 6.842 9.734 Å, 90.00 90.00 151.85°
Sites, in units of the cell vectors:
Pu 0.123 0.877 0.500
Pu 0.142 0.858 0.076
Pu 0.858 0.142 0.576
Pu 0.877 0.123 0.000
Mg 0.214 0.786 0.793
Mg 0.786 0.214 0.293
V 0.490 0.510 0.270
V 0.510 0.490 0.770
N 0.050 0.950 0.841
N 0.288 0.712 0.455
N 0.305 0.695 0.142
N 0.376 0.624 0.809
N 0.494 0.506 0.585
N 0.506 0.494 0.085
N 0.624 0.376 0.309
N 0.695 0.305 0.642
N 0.712 0.288 0.955
N 0.950 0.050 0.341

* total DFT energy (no corrections): -179.892 eV/cell
* V: 11.94 A^3/atom
* uncorrected formation energy: -0.9935 eV/atom

=====

Density functional theory data (GGA-PBE) for a relaxed structure of YPuMg2N4.

Cell: 5.551 3.389 5.822 Å, 90.00 109.81 90.00°
Sites, in units of the cell vectors:
Y 0.000 0.000 0.000
Pu 0.000 0.500 0.500
Mg 0.500 0.000 0.500
Mg 0.500 0.500 0.000
N 0.236 0.500 0.272
N 0.249 0.000 0.742
N 0.751 0.000 0.258
N 0.764 0.500 0.728

* total DFT energy (no corrections): -65.882 eV/cell
* V: 12.88 A^3/atom
* uncorrected formation energy: -1.0744 eV/atom

=====

Density functional theory data (GGA-PBE) for a relaxed structure of Pu3Mg3ZnN8.

Cell: 6.380 6.380 6.380 Å, 62.13 62.13 62.13°
Sites, in units of the cell vectors:
Pu 0.000 0.500 0.500
Pu 0.500 0.000 0.500
Pu 0.500 0.500 0.000
Mg 0.000 0.000 0.500
Mg 0.000 0.500 0.000
Mg 0.500 0.000 0.000
Zn 0.000 0.000 0.000
N 0.243 0.243 0.736
N 0.243 0.736 0.243
N 0.248 0.248 0.248
N 0.264 0.757 0.757
N 0.736 0.243 0.243
N 0.752 0.752 0.752
N 0.757 0.264 0.757
N 0.757 0.757 0.264

* total DFT energy (no corrections): -124.824 eV/cell
* V: 12.83 A^3/atom
* uncorrected formation energy: -0.6112 eV/atom

=====

Density functional theory data (GGA-PBE) for a relaxed structure of PuMg3Zr2N6.

Cell: 7.227 7.227 6.428 Å, 101.10 101.10 26.23°
Sites, in units of the cell vectors:
Pu 0.000 0.000 0.000
Mg 0.000 0.000 0.500
Mg 0.331 0.331 0.165
Mg 0.669 0.669 0.835
Zr 0.331 0.331 0.661
Zr 0.669 0.669 0.339
N 0.166 0.166 0.094
N 0.170 0.170 0.581
N 0.496 0.496 0.750
N 0.504 0.504 0.250
N 0.830 0.830 0.419
N 0.834 0.834 0.906

* total DFT energy (no corrections): -100.598 eV/cell
* V: 12.12 A^3/atom
* uncorrected formation energy: -1.2028 eV/atom

=====

Density functional theory data (GGA-PBE) for a relaxed structure of Pu3MgZr2N6.

Cell: 7.508 7.508 6.689 Å, 102.89 102.89 25.86°
Sites, in units of the cell vectors:
Pu 0.000 0.000 0.000
Pu 0.337 0.337 0.665
Pu 0.663 0.663 0.335
Mg 0.000 0.000 0.500
Zr 0.333 0.333 0.166
Zr 0.667 0.667 0.834
N 0.167 0.167 0.590
N 0.170 0.170 0.073
N 0.494 0.494 0.250
N 0.506 0.506 0.750
N 0.830 0.830 0.927
N 0.833 0.833 0.410

* total DFT energy (no corrections): -127.415 eV/cell
* V: 13.34 A^3/atom
* uncorrected formation energy: -1.3147 eV/atom

=====

Density functional theory data (GGA-PBE) for a relaxed structure of PuMg2ZrN4.

Cell: 5.537 3.312 5.731 Å, 90.00 110.16 90.00°
Sites, in units of the cell vectors:
Pu 0.000 0.000 0.000
Mg 0.500 0.000 0.500
Mg 0.500 0.500 0.000
Zr 0.000 0.500 0.500
N 0.240 0.500 0.252
N 0.241 0.000 0.744
N 0.759 0.000 0.256
N 0.760 0.500 0.748

* total DFT energy (no corrections): -68.556 eV/cell
* V: 12.33 A^3/atom
* uncorrected formation energy: -1.1481 eV/atom

=====

Density functional theory data (GGA-PBE) for a relaxed structure of Rb2MgN.

Cell: 7.930 7.930 7.930 Å, 90.00 90.00 90.00°
Sites, in units of the cell vectors:
Rb 0.250 0.250 0.250
Rb 0.250 0.250 0.750
Rb 0.250 0.750 0.250
Rb 0.250 0.750 0.750
Rb 0.750 0.250 0.250
Rb 0.750 0.250 0.750
Rb 0.750 0.750 0.250
Rb 0.750 0.750 0.750
Mg 0.000 0.000 0.000
Mg 0.000 0.500 0.500
Mg 0.500 0.000 0.500
Mg 0.500 0.500 0.000
N 0.000 0.000 0.500
N 0.000 0.500 0.000
N 0.500 0.000 0.000
N 0.500 0.500 0.500

* total DFT energy (no corrections): -30.229 eV/cell
* V: 31.17 A^3/atom
* uncorrected formation energy: 1.0745 eV/atom